Record 1
Below is crystalline CePrZnSb at its relaxed geometry, with properties calculated at the GGA-PBE level.

Lattice parameters (Å, degrees): 5.3576 5.3576 5.3576 60.00 60.00 60.00
Fractional positions:
Ce  0.0000  0.0000  0.0000
Pr  0.5000  0.5000  0.5000
Zn  0.7500  0.7500  0.7500
Sb  0.2500  0.2500  0.2500

**ΔE_f (raw)**: -0.529 eV/atom

=====

Record 2
Below is crystalline SmY2Tl2Zn2 at its relaxed geometry, with properties calculated at the GGA-PBE level.

Lattice parameters (Å, degrees): 9.6979 9.6979 9.6979 28.31 28.31 28.31
Fractional positions:
Sm  0.0000  0.0000  0.0000
Y  0.1272  0.1272  0.1272
Y  0.8728  0.8728  0.8728
Tl  0.2595  0.2595  0.2595
Tl  0.7405  0.7405  0.7405
Zn  0.3949  0.3949  0.3949
Zn  0.6051  0.6051  0.6051

**Calculated formation energy**: -186.7 meV per atom

=====

Record 3
Below is crystalline ScCd3Os at its relaxed geometry, with properties calculated at the GGA-PBE level.

Lattice parameters (Å, degrees): 5.1174 5.1174 5.1174 90.00 90.00 90.00
Fractional positions:
Sc  0.0000  0.0000  0.0000
Cd  0.0000  0.5000  0.5000
Cd  0.5000  0.0000  0.5000
Cd  0.5000  0.5000  0.0000
Os  0.5000  0.5000  0.5000

**Calculated formation energy**: 759.2 meV per atom
**Distance to the lowest polymorph of the same formula**: 0 meV per atom